! MgTl2Sb2Pb, optimized geometry, DFT PBE-GGA; values from VASP
! Symmetry   Pmc2_1 (26)
! Formation energy from raw total energies   -0.125 eV/atom
! Calculated total energy   -38.06 eV per cell
&SYSTEM
  ibrav = 0, nat = 12, ntyp = 4
/
ATOMIC_SPECIES
Mg 24.30 Mg.upf
Tl 204.38 Tl.upf
Sb 121.76 Sb.upf
Pb 207.20 Pb.upf
ATOMIC_POSITIONS angstrom
Mg 0.0000 1.6459 0.0000
Mg 0.0000 8.3643 3.8623
Tl 0.0000 4.0532 2.8815
Tl 0.0000 5.9570 6.7439
Tl 2.4350 3.4128 5.3676
Tl 2.4350 6.5974 1.5052
Sb 0.0000 1.1970 4.7760
Sb 0.0000 8.8132 0.9137
Sb 2.4350 3.0202 0.8606
Sb 2.4350 6.9900 4.7229
Pb 2.4350 0.4284 2.5936
Pb 2.4350 9.5818 6.4559
CELL_PARAMETERS angstrom
4.8700 0.0000 0.0000
0.0000 10.0102 0.0000
0.0000 0.0000 7.7247

! MgSc5Pb3, optimized geometry, DFT PBE-GGA; values from VASP
! Symmetry   P6_3/mcm (193)
! Formation energy   -0.368 eV per atom
! Calculated total energy   -95.38 eV per cell
&SYSTEM
  ibrav = 0, nat = 18, ntyp = 3
/
ATOMIC_SPECIES
Mg 24.30 Mg.upf
Sc 44.96 Sc.upf
Pb 207.20 Pb.upf
ATOMIC_POSITIONS angstrom
Mg 0.0000 0.0000 0.0000
Mg 0.0000 0.0000 3.1304
Sc -1.2776 2.2129 1.5652
Sc -3.1414 5.4410 4.6956
Sc 2.5552 0.0000 1.5652
Sc 1.2776 2.2129 4.6956
Sc 0.0000 5.1026 0.0000
Sc 0.0000 5.1026 3.1304
Sc 4.4190 2.5513 0.0000
Sc 4.4190 2.5513 3.1304
Sc 6.2827 0.0000 4.6956
Sc 3.1414 5.4410 1.5652
Pb -1.6389 2.8387 4.6956
Pb -2.7800 4.8151 1.5652
Pb 3.2779 0.0000 4.6956
Pb 1.6389 2.8387 1.5652
Pb 5.5600 0.0000 1.5652
Pb 2.7800 4.8151 4.6956
CELL_PARAMETERS angstrom
8.8379 0.0000 0.0000
-4.4190 7.6539 0.0000
0.0000 0.0000 6.2608

! MgSc2Pb, optimized geometry, DFT PBE-GGA; values from VASP
! Symmetry   Pmm2 (25)
! Formation energy   -0.154 eV per atom
! Calculated total energy   -18.58 eV per cell
&SYSTEM
  ibrav = 0, nat = 4, ntyp = 3
/
ATOMIC_SPECIES
Mg 24.30 Mg.upf
Sc 44.96 Sc.upf
Pb 207.20 Pb.upf
ATOMIC_POSITIONS angstrom
Mg 0.0000 0.0000 0.0000
Sc 0.0000 0.0000 3.2725
Sc 1.7404 2.1962 4.8596
Pb 1.7404 2.1962 1.7164
CELL_PARAMETERS angstrom
3.4807 0.0000 0.0000
0.0000 4.3924 0.0000
0.0000 0.0000 6.3428

! Mg3ScPb4, optimized geometry, DFT PBE-GGA; values from VASP
! Symmetry   Pmma (51)
! Formation energy   -0.100 eV per atom
! Calculated total energy   -53.49 eV per cell
&SYSTEM
  ibrav = 0, nat = 16, ntyp = 3
/
ATOMIC_SPECIES
Mg 24.30 Mg.upf
Sc 44.96 Sc.upf
Pb 207.20 Pb.upf
ATOMIC_POSITIONS angstrom
Mg 0.0000 0.0000 0.0000
Mg 2.7030 0.0000 2.3489
Mg 2.7030 3.5041 2.3614
Mg 5.4060 0.0000 0.0000
Mg 8.1090 0.0000 3.1094
Mg 8.1090 3.5041 3.0968
Sc 0.0000 3.5041 0.0000
Sc 5.4060 3.5041 0.0000
Pb 0.0000 1.7625 2.7291
Pb 0.0000 5.2458 2.7291
Pb 2.7030 1.7572 5.1094
Pb 2.7030 5.2511 5.1094
Pb 5.4060 1.7625 2.7291
Pb 5.4060 5.2458 2.7291
Pb 8.1090 1.7572 0.3489
Pb 8.1090 5.2511 0.3489
CELL_PARAMETERS angstrom
10.8120 0.0000 0.0000
0.0000 7.0083 0.0000
0.0000 0.0000 5.4583

Looking at DOS(E_F) for the records above, in order, we have 0.480 9.701 4.119 4.825 states/eV/f.u..